one) A relaxed Ba2CoW crystal, computed with PBE-GGA.

## Properties
crystal system: orthorhombic
V: 124.08 Å³/cell
space-group type: Imm2 (44)
DOS(E_F): 5.54 states/eV/cell

abc: 7.0693 7.0693 5.2589
angles: 68.15 68.15 30.78
Element x y z (fractional)
Co 0.5748 0.5748 0.4255
W 0.1753 0.1753 0.3245
Ba 0.7638 0.7638 0.7361
Ba 0.9861 0.9861 0.0140

***

two) A relaxed Ba2CoW crystal, computed with PBE-GGA.

## Properties
crystal system: tetragonal
V: 115.88 Å³/cell
space-group type: P4mm (99)
DOS(E_F): 5.03 states/eV/cell

abc: 3.4099 3.4099 9.9663
angles: 90.00 90.00 90.00
Element x y z (fractional)
Ba 0.5000 0.5000 0.3331
Ba 0.0000 0.0000 0.9239
Co 0.0000 0.0000 0.5921
W 0.5000 0.5000 0.6509

***

Which structure is most stable, and how do the rest compare? From most to least stable: two), one).